1.
# LaW4Br (PBE, relaxed)
data_LaW4Br
_space_group_name_H-M_alt 'F -4 3 m'
_space_group_IT_number 216
_space_group_name_Hall 'F -4 2 3'
_cell_length_a 7.8714
_cell_length_b 7.8714
_cell_length_c 7.8714
_cell_angle_alpha 90.00
_cell_angle_beta 90.00
_cell_angle_gamma 90.00
loop_
_atom_site_label
_atom_site_type_symbol
_atom_site_fract_x
_atom_site_fract_y
_atom_site_fract_z
_atom_site_occupancy
La1 La 0.0000 0.0000 0.0000 1
W1 W 0.1255 0.1255 0.6255 1
Br1 Br 0.2500 0.2500 0.2500 1
# Density of states at the Fermi level   1.142 states/eV/atom
# Total energy   -8.8216 eV/atom

***

2.
# LaW2Br (PBE, relaxed)
data_LaW2Br
_space_group_name_H-M_alt 'C 1 m 1'
_space_group_IT_number 8
_space_group_name_Hall 'C -2y'
_cell_length_a 7.2825
_cell_length_b 3.9469
_cell_length_c 8.1154
_cell_angle_alpha 90.00
_cell_angle_beta 114.07
_cell_angle_gamma 90.00
loop_
_atom_site_label
_atom_site_type_symbol
_atom_site_fract_x
_atom_site_fract_y
_atom_site_fract_z
_atom_site_occupancy
La1 La 0.0000 0.0000 0.0000 1
W1 W 0.0350 0.5000 0.3742 1
W2 W 0.3044 0.5000 0.2531 1
Br1 Br 0.1850 0.0000 0.6999 1
# Density of states at the Fermi level   0.270 states/eV/atom
# Relative energy among the computed polymorphs   107 kJ/mol of formula units
# Total energy   -7.7402 eV/atom

***

3.
# LaW2Br (PBE, relaxed)
data_LaW2Br
_space_group_name_H-M_alt 'C 1 2 1'
_space_group_IT_number 5
_space_group_name_Hall 'C 2y'
_cell_length_a 6.8749
_cell_length_b 6.8742
_cell_length_c 4.8998
_cell_angle_alpha 90.00
_cell_angle_beta 134.48
_cell_angle_gamma 90.00
loop_
_atom_site_label
_atom_site_type_symbol
_atom_site_fract_x
_atom_site_fract_y
_atom_site_fract_z
_atom_site_occupancy
La1 La 0.0000 0.0000 0.0000 1
W1 W 0.0000 0.5005 0.0000 1
W2 W 0.0000 0.7511 0.5000 1
Br1 Br 0.0000 0.2503 0.5000 1
# Density of states at the Fermi level   0.988 states/eV/atom
# Relative energy among the computed polymorphs   329 kJ/mol of formula units
# Total energy   -7.1657 eV/atom

***

4.
# LaWBr2 (PBE, relaxed)
data_LaWBr2
_space_group_name_H-M_alt 'I -4 m 2'
_space_group_IT_number 119
_space_group_name_Hall 'I -4 -2'
_cell_length_a 4.3025
_cell_length_b 4.3025
_cell_length_c 10.7727
_cell_angle_alpha 90.00
_cell_angle_beta 90.00
_cell_angle_gamma 90.00
loop_
_atom_site_label
_atom_site_type_symbol
_atom_site_fract_x
_atom_site_fract_y
_atom_site_fract_z
_atom_site_occupancy
La1 La 0.0000 0.0000 0.0000 1
W1 W 0.0000 0.5000 0.7500 1
Br1 Br 0.0000 0.0000 0.5000 1
Br2 Br 0.0000 0.5000 0.2500 1
# Density of states at the Fermi level   0.809 states/eV/atom
# Relative energy among the computed polymorphs   187 kJ/mol of formula units
# Total energy   -4.9780 eV/atom

***

5.
# LaW2Br (PBE, relaxed)
data_LaW2Br
_space_group_name_H-M_alt 'P m m m'
_space_group_IT_number 47
_space_group_name_Hall '-P 2 2'
_cell_length_a 3.1469
_cell_length_b 5.2919
_cell_length_c 5.8478
_cell_angle_alpha 90.00
_cell_angle_beta 90.00
_cell_angle_gamma 90.00
loop_
_atom_site_label
_atom_site_type_symbol
_atom_site_fract_x
_atom_site_fract_y
_atom_site_fract_z
_atom_site_occupancy
La1 La 0.0000 0.0000 0.0000 1
W1 W 0.5000 0.5000 0.1969 1
Br1 Br 0.0000 0.0000 0.5000 1
# Density of states at the Fermi level   1.046 states/eV/atom
# Relative energy among the computed polymorphs   340 kJ/mol of formula units
# Total energy   -7.1373 eV/atom

***

6.
# La2WBr2 (PBE, relaxed)
data_La2WBr2
_space_group_name_H-M_alt 'P 4/m b m'
_space_group_IT_number 127
_space_group_name_Hall '-P 4 2ab'
_cell_length_a 8.6386
_cell_length_b 8.6386
_cell_length_c 3.5146
_cell_angle_alpha 90.00
_cell_angle_beta 90.00
_cell_angle_gamma 90.00
loop_
_atom_site_label
_atom_site_type_symbol
_atom_site_fract_x
_atom_site_fract_y
_atom_site_fract_z
_atom_site_occupancy
La1 La 0.1784 0.3216 0.0000 1
W1 W 0.0000 0.0000 0.5000 1
Br1 Br 0.1252 0.6252 0.5000 1
# Density of states at the Fermi level   0.999 states/eV/atom
# Relative energy among the computed polymorphs   27 kJ/mol of formula units
# Total energy   -5.3152 eV/atom

***

7.
# La2YBr (PBE, relaxed)
data_La2YBr
_space_group_name_H-M_alt 'C m m m'
_space_group_IT_number 65
_space_group_name_Hall '-C 2 2'
_cell_length_a 4.4034
_cell_length_b 5.9160
_cell_length_c 10.1390
_cell_angle_alpha 90.00
_cell_angle_beta 90.00
_cell_angle_gamma 90.00
loop_
_atom_site_label
_atom_site_type_symbol
_atom_site_fract_x
_atom_site_fract_y
_atom_site_fract_z
_atom_site_occupancy
La1 La 0.0000 0.0000 0.2365 1
Y1 Y 0.0000 0.5000 0.5000 1
Br1 Br 0.0000 0.5000 0.0000 1
# Density of states at the Fermi level   1.475 states/eV/atom
# Relative energy among the computed polymorphs   32 kJ/mol of formula units
# Total energy   -4.9981 eV/atom

***

8.
# LaY2Br (PBE, relaxed)
data_LaY2Br
_space_group_name_H-M_alt 'P 4/m m m'
_space_group_IT_number 123
_space_group_name_Hall '-P 4 2'
_cell_length_a 5.8723
_cell_length_b 5.8723
_cell_length_c 3.6078
_cell_angle_alpha 90.00
_cell_angle_beta 90.00
_cell_angle_gamma 90.00
loop_
_atom_site_label
_atom_site_type_symbol
_atom_site_fract_x
_atom_site_fract_y
_atom_site_fract_z
_atom_site_occupancy
La1 La 0.0000 0.0000 0.0000 1
Y1 Y 0.0000 0.5000 0.5000 1
Br1 Br 0.5000 0.5000 0.0000 1
# Density of states at the Fermi level   1.274 states/eV/atom
# Relative energy among the computed polymorphs   148 kJ/mol of formula units
# Total energy   -5.0518 eV/atom

***

9.
# LaY2Br (PBE, relaxed)
data_LaY2Br
_space_group_name_H-M_alt 'C 1 m 1'
_space_group_IT_number 8
_space_group_name_Hall 'C -2y'
_cell_length_a 13.2890
_cell_length_b 3.5468
_cell_length_c 5.9743
_cell_angle_alpha 90.00
_cell_angle_beta 116.59
_cell_angle_gamma 90.00
loop_
_atom_site_label
_atom_site_type_symbol
_atom_site_fract_x
_atom_site_fract_y
_atom_site_fract_z
_atom_site_occupancy
La1 La 0.0000 0.0000 0.0000 1
Y1 Y 0.0613 0.5000 0.5608 1
Y2 Y 0.2901 0.5000 0.2916 1
Br1 Br 0.2697 0.0000 0.7683 1
# Density of states at the Fermi level   0.913 states/eV/atom
# Relative energy among the computed polymorphs   86 kJ/mol of formula units
# Total energy   -5.2114 eV/atom

***

10.
# LaYBr (PBE, relaxed)
data_LaYBr
_space_group_name_H-M_alt 'F -4 3 m'
_space_group_IT_number 216
_space_group_name_Hall 'F -4 2 3'
_cell_length_a 7.1961
_cell_length_b 7.1961
_cell_length_c 7.1961
_cell_angle_alpha 90.00
_cell_angle_beta 90.00
_cell_angle_gamma 90.00
loop_
_atom_site_label
_atom_site_type_symbol
_atom_site_fract_x
_atom_site_fract_y
_atom_site_fract_z
_atom_site_occupancy
La1 La 0.0000 0.0000 0.0000 1
Y1 Y 0.0000 0.0000 0.5000 1
Br1 Br 0.2500 0.2500 0.2500 1
# Density of states at the Fermi level   1.377 states/eV/atom
# Relative energy among the computed polymorphs   129 kJ/mol of formula units
# Total energy   -4.6743 eV/atom

***

11.
# La2YBr (PBE, relaxed)
data_La2YBr
_space_group_name_H-M_alt 'I 4/m m m'
_space_group_IT_number 139
_space_group_name_Hall '-I 4 2'
_cell_length_a 4.9152
_cell_length_b 4.9152
_cell_length_c 10.6558
_cell_angle_alpha 90.00
_cell_angle_beta 90.00
_cell_angle_gamma 90.00
loop_
_atom_site_label
_atom_site_type_symbol
_atom_site_fract_x
_atom_site_fract_y
_atom_site_fract_z
_atom_site_occupancy
La1 La 0.0000 0.5000 0.2500 1
Y1 Y 0.0000 0.0000 0.0000 1
Br1 Br 0.0000 0.0000 0.5000 1
# Density of states at the Fermi level   1.872 states/eV/atom
# Relative energy among the computed polymorphs   181 kJ/mol of formula units
# Total energy   -4.6121 eV/atom

***

12.
# LaY2Br (PBE, relaxed)
data_LaY2Br
_space_group_name_H-M_alt 'P 1 2/m 1'
_space_group_IT_number 10
_space_group_name_Hall '-P 2y'
_cell_length_a 3.8454
_cell_length_b 5.4260
_cell_length_c 6.3379
_cell_angle_alpha 90.00
_cell_angle_beta 106.03
_cell_angle_gamma 90.00
loop_
_atom_site_label
_atom_site_type_symbol
_atom_site_fract_x
_atom_site_fract_y
_atom_site_fract_z
_atom_site_occupancy
La1 La 0.0000 0.0000 0.0000 1
Y1 Y 0.3803 0.5000 0.7349 1
Br1 Br 0.5000 0.0000 0.5000 1
# Density of states at the Fermi level   1.301 states/eV/atom
# Relative energy among the computed polymorphs   106 kJ/mol of formula units
# Total energy   -5.1603 eV/atom

***

13.
# La3YBr (PBE, relaxed)
data_La3YBr
_space_group_name_H-M_alt 'P m -3 m'
_space_group_IT_number 221
_space_group_name_Hall '-P 4 2 3'
_cell_length_a 5.7279
_cell_length_b 5.7279
_cell_length_c 5.7279
_cell_angle_alpha 90.00
_cell_angle_beta 90.00
_cell_angle_gamma 90.00
loop_
_atom_site_label
_atom_site_type_symbol
_atom_site_fract_x
_atom_site_fract_y
_atom_site_fract_z
_atom_site_occupancy
La1 La 0.0000 0.0000 0.5000 1
Y1 Y 0.5000 0.5000 0.5000 1
Br1 Br 0.0000 0.0000 0.0000 1
# Density of states at the Fermi level   0.937 states/eV/atom
# Relative energy among the computed polymorphs   0 kJ/mol of formula units
# Total energy   -4.9056 eV/atom

***

14.
# LaY4Br (PBE, relaxed)
data_LaY4Br
_space_group_name_H-M_alt 'F -4 3 m'
_space_group_IT_number 216
_space_group_name_Hall 'F -4 2 3'
_cell_length_a 9.5144
_cell_length_b 9.5144
_cell_length_c 9.5144
_cell_angle_alpha 90.00
_cell_angle_beta 90.00
_cell_angle_gamma 90.00
loop_
_atom_site_label
_atom_site_type_symbol
_atom_site_fract_x
_atom_site_fract_y
_atom_site_fract_z
_atom_site_occupancy
La1 La 0.0000 0.0000 0.0000 1
Y1 Y 0.1270 0.1270 0.6270 1
Br1 Br 0.2500 0.2500 0.2500 1
# Density of states at the Fermi level   1.202 states/eV/atom
# Total energy   -5.1502 eV/atom

***

15.
# La4YBr (PBE, relaxed)
data_La4YBr
_space_group_name_H-M_alt 'F -4 3 m'
_space_group_IT_number 216
_space_group_name_Hall 'F -4 2 3'
_cell_length_a 9.5376
_cell_length_b 9.5376
_cell_length_c 9.5376
_cell_angle_alpha 90.00
_cell_angle_beta 90.00
_cell_angle_gamma 90.00
loop_
_atom_site_label
_atom_site_type_symbol
_atom_site_fract_x
_atom_site_fract_y
_atom_site_fract_z
_atom_site_occupancy
La1 La 0.1200 0.1200 0.1200 1
Y1 Y 0.2500 0.2500 0.7500 1
Br1 Br 0.0000 0.0000 0.5000 1
# Density of states at the Fermi level   1.403 states/eV/atom
# Total energy   -4.4631 eV/atom

***

no.,raw formation energy (meV/atom)
1,914
2,386
3,961
4,329
5,989
6,-84
7,-500
8,-170
9,-329
10,-320
11,-114
12,-278
13,-322
14,259
15,178